Entry 1:
Density functional theory data (GGA-PBE) for an optimized crystal structure of LiNiC.

Computed properties:
DFT formation energy: 0.159 eV per atom
DFT total energy: -0.4028 Ry per atom

a b c (Å): 3.8521 3.9454 6.3097
angles (deg): 143.02 90.00 90.00
Closest atoms and distances in Å follow each position.
Atoms (fractional coordinates):
1 Ni 0.0000 0.8383 0.8386  4 C 2.00-2.14
2 Ni 0.5000 0.5978 0.4239  2 C 1.94
3 C 0.0000 0.1087 0.6743  1 C 1.40
4 C 0.0000 0.5183 0.3758  1 C 1.40
5 Li 0.0000 0.8408 0.2331  4 C 2.03-2.12
6 Li 0.5000 0.5536 0.8885  2 C 2.20, 3 Ni 2.27-2.37, 2 Li 2.41

Entry 2:
Density functional theory data (GGA-PBE) for an optimized crystal structure of LiNi3C.

Computed properties:
DFT formation energy: 0.027 eV per atom
DFT total energy: -0.4167 Ry per atom

a b c (Å): 4.7158 4.9251 4.3862
angles (deg): 90.00 88.88 90.00
Closest atoms and distances in Å follow each position.
Atoms (fractional coordinates):
1 Ni 0.2517 0.5005 0.8955  2 C 1.90-1.93
2 Ni 0.7483 0.0005 0.1045  2 C 1.90-1.93
3 Ni 0.3658 0.7500 0.3972  1 C 1.84
4 Ni 0.6342 0.2500 0.6028  1 C 1.84
5 Ni 0.2517 0.9995 0.8955  2 C 1.90-1.93
6 Ni 0.7483 0.4995 0.1045  2 C 1.90-1.93
7 C 0.9502 0.2500 0.8407  5 Ni 1.84-1.93
8 C 0.0498 0.7500 0.1593  5 Ni 1.84-1.93
9 Li 0.1438 0.2500 0.3847  1 C 2.18
10 Li 0.8562 0.7500 0.6153  1 C 2.18

Entry 3:
Density functional theory data (GGA-PBE) for an optimized crystal structure of LiNiC.

Computed properties:
DFT formation energy: 0.283 eV per atom
DFT total energy: -0.3937 Ry per atom

a b c (Å): 4.9418 2.8354 9.5717
angles (deg): 90.00 108.71 90.00
Closest atoms and distances in Å follow each position.
Atoms (fractional coordinates):
1 Ni 0.3688 0.5000 0.1906  4 C 1.93-1.97
2 Ni 0.7967 0.5000 0.4012  3 C 1.80-1.89
3 Ni 0.3688 0.0000 0.6906  4 C 1.93-1.97
4 Ni 0.7967 0.0000 0.9012  3 C 1.80-1.89
5 Li 0.2510 0.5000 0.9117  3 C 2.29-2.38, 1 Ni 2.54
6 Li 0.2510 0.0000 0.4117  3 C 2.29-2.38, 1 Ni 2.54
7 Li 0.8403 0.0000 0.6352  2 C 2.23, 1 Ni 2.49
8 Li 0.8403 0.5000 0.1352  2 C 2.23, 1 Ni 2.49
9 C 0.1268 0.5000 0.5692  3 Ni 1.89-1.97
10 C 0.6127 0.0000 0.2965  4 Ni 1.80-1.93
11 C 0.1268 0.0000 0.0692  3 Ni 1.89-1.97
12 C 0.6127 0.5000 0.7965  4 Ni 1.80-1.93

Entry 4:
Density functional theory data (GGA-PBE) for an optimized crystal structure of Li2Ni6C.

Computed properties:
DFT formation energy: -0.082 eV per atom
DFT total energy: -0.3959 Ry per atom

a b c (Å): 5.1071 5.1075 7.2271
angles (deg): 90.00 90.00 90.00
Closest atoms and distances in Å follow each position.
Atoms (fractional coordinates):
1 Ni 0.0000 0.0000 0.7595  1 C 1.88
2 Ni 0.2592 0.7406 0.5001  1 C 1.87
3 Ni 0.2594 0.2592 0.5001  1 C 1.87
4 Ni 0.7406 0.7408 0.4999  1 C 1.87
5 Ni 0.0000 0.0000 0.2405  1 C 1.88
6 Ni 0.2406 0.7592 0.9999  1 C 1.87
7 Ni 0.7408 0.2594 0.4999  1 C 1.87
8 Ni 0.7592 0.7594 0.0001  1 C 1.87
9 Ni 0.2408 0.2406 0.9999  1 C 1.87
10 Ni 0.5000 0.5000 0.7405  1 C 1.88
11 Ni 0.7594 0.2408 0.0001  1 C 1.87
12 Ni 0.5000 0.5000 0.2595  1 C 1.88
13 Li 0.5002 0.0000 0.7501  12 Ni 2.55-2.56
14 Li 0.9998 0.5000 0.7499  12 Ni 2.55-2.56
15 Li 0.0002 0.5000 0.2501  12 Ni 2.55-2.56
16 Li 0.4998 0.0000 0.2499  12 Ni 2.55-2.56
17 C 0.0000 0.0000 0.5000  6 Ni 1.87-1.88
18 C 0.5000 0.5000 0.0000  6 Ni 1.87-1.88